No. 1
NbInB2O6 | OQMD via LeMat-Bulk | PBE | relaxed; theoretical density = 3.9 Mg/m³; magnetic moment = 0.00 μB/cell; electronic total energy = -156.15 eV/cell
1.0
7.503 0.000 0.000
0.000 3.957 0.000
0.000 0.000 9.217
Nb In B O
2 2 4 12
Direct
0.000 0.213 0.000
0.500 0.787 0.500
0.000 0.559 0.607
0.500 0.441 0.107
0.166 0.979 0.289
0.334 0.021 0.789
0.666 0.021 0.789
0.834 0.979 0.289
0.000 0.673 0.001
0.000 0.930 0.356
0.184 0.153 0.163
0.193 0.166 0.857
0.307 0.834 0.357
0.316 0.847 0.663
0.500 0.070 0.856
0.500 0.327 0.501
0.684 0.847 0.663
0.693 0.834 0.357
0.807 0.166 0.857
0.816 0.153 0.163

No. 2
NdInB4 | OQMD via LeMat-Bulk | PBE | relaxed; theoretical density = 6.7 Mg/m³; magnetic moment = 0.00 μB/cell; energy above the lowest structure with this stoichiometry = 0 meV/atom
1.0
-1.629 2.699 4.275
1.629 -2.699 4.275
1.629 2.699 -4.275
Nd In B
1 1 4
Direct
0.000 0.000 0.000
0.500 0.500 0.000
0.067 0.741 0.326
0.415 0.741 0.674
0.585 0.259 0.326
0.933 0.259 0.674

No. 3
NdInB | OQMD via LeMat-Bulk | PBE | relaxed; theoretical density = 6.3 Mg/m³; magnetic moment = 0.01 μB/cell; electronic total energy = -11.58 eV/cell
1.0
0.000 3.295 3.295
3.295 0.000 3.295
3.295 3.295 0.000
Nd In B
1 1 1
Direct
0.000 0.000 0.000
0.750 0.750 0.750
0.500 0.500 0.500

Q: Which of these has the highest theoretical density?
A: NdInB4

Q: Number 2 is which compound?
A: NdInB4